Entry 1:
4
Lattice="-1.733 1.770 6.422 1.733 -1.770 6.422 1.733 1.770 -6.422" Properties=species:S:1:pos:R:3 comment="Y2BeC GGA-PBE relaxed" magmom_total_mub_per_cell=0.00 ef_ev_per_atom=-0.207 polymorph_energy_mev_per_atom=0 pbc="T T T"
Y 0.000 0.000 1.692
Y 0.000 0.000 11.152
Be 0.000 0.000 6.422
C 0.000 1.770 0.000

***

Entry 2:
5
Lattice="3.721 0.000 0.000 0.000 3.721 0.000 0.000 0.000 3.721" Properties=species:S:1:pos:R:3 comment="YBeC3 GGA-PBE relaxed" magmom_total_mub_per_cell=0.00 ef_ev_per_atom=1.265 polymorph_energy_mev_per_atom=0 pbc="T T T"
Y 0.000 0.000 0.000
Be 1.860 1.860 1.860
C 0.000 1.860 1.860
C 1.860 0.000 1.860
C 1.860 1.860 0.000

***

Entry 3:
5
Lattice="4.860 0.000 0.000 0.000 4.860 0.000 0.000 0.000 4.860" Properties=species:S:1:pos:R:3 comment="Y3BeC GGA-PBE relaxed" magmom_total_mub_per_cell=1.03 ef_ev_per_atom=0.005 polymorph_energy_mev_per_atom=0 pbc="T T T"
Y 0.000 0.000 2.430
Y 0.000 2.430 0.000
Y 2.430 0.000 0.000
Be 2.430 2.430 2.430
C 0.000 0.000 0.000

***

Entry 4:
8
Lattice="-3.404 3.404 3.632 3.404 -3.404 3.632 3.404 3.404 -3.632" Properties=species:S:1:pos:R:3 comment="Y2BeC GGA-PBE relaxed" magmom_total_mub_per_cell=0.00 ef_ev_per_atom=0.301 polymorph_energy_mev_per_atom=508 pbc="T T T"
Y 1.702 1.308 -0.908
Y 2.096 -1.702 4.541
Y 1.702 2.096 2.724
Y 1.308 5.106 0.908
Be 3.404 0.000 1.816
Be 0.000 0.000 3.632
C 0.000 0.000 0.000
C 0.000 3.404 1.816

***

Entry 5:
5
Lattice="4.483 0.000 0.000 0.000 4.483 0.000 0.000 0.000 4.483" Properties=species:S:1:pos:R:3 comment="YBeC3 GGA-PBE relaxed" magmom_total_mub_per_cell=0.00 ef_ev_per_atom=3.129 polymorph_energy_mev_per_atom=1864 pbc="T T T"
Y 0.000 0.000 0.000
Be 2.242 2.242 2.242
C 0.000 0.000 2.242
C 0.000 2.242 0.000
C 2.242 0.000 0.000

***

Entry 6:
4
Lattice="0.000 3.243 3.243 3.243 0.000 3.243 3.243 3.243 0.000" Properties=species:S:1:pos:R:3 comment="Y2BeC GGA-PBE relaxed" magmom_total_mub_per_cell=0.00 ef_ev_per_atom=0.511 polymorph_energy_mev_per_atom=719 pbc="T T T"
Y 1.621 1.621 1.621
Y 4.864 4.864 4.864
Be 0.000 0.000 0.000
C 3.243 3.243 3.243